No. 1
This record from the Alexandria database describes an optimized crystal structure of KY2As. The functional is PBE.

Unit cell a=6.9159 b=6.9159 c=17.2354 alpha=90.00 beta=90.00 gamma=90.00
Space group I-42d (No. 122)
Inequivalent atoms, fractional coordinates:
K: 0.0000 0.0000 0.0000 [4 per cell]
Y: 0.0014 0.7500 0.6250 [8 per cell]
As: 0.0000 0.0000 0.5000 [4 per cell]

Results
- formation enthalpy at 0 K (meV/atom) = 83


No. 2
This record from the Alexandria database describes an optimized crystal structure of BaCa4Te5. The functional is PBE.

Unit cell a=15.3336 b=4.6188 c=11.3534 alpha=90.00 beta=119.48 gamma=90.00
Space group C2/m (No. 12)
Inequivalent atoms, fractional coordinates:
Ba: 0.0000 0.0000 0.0000 [2 per cell]
Ca: 0.0962 0.5000 0.3993 [4 per cell]
Ca: 0.2014 0.0000 0.7923 [4 per cell]
Te: 0.0000 0.0000 0.5000 [2 per cell]
Te: 0.1100 0.5000 0.8907 [4 per cell]
Te: 0.2060 0.0000 0.3147 [4 per cell]

Results
- ΔE_f (raw) (eV/atom) = -1.65


No. 3
This record from the Alexandria database describes an optimized crystal structure of Li7Cd3Pd. The functional is PBE.

Unit cell a=2.8826 b=18.6857 c=15.1148 alpha=90.00 beta=90.00 gamma=90.00
Space group Cmcm (No. 63)
Inequivalent atoms, fractional coordinates:
Li: 0.0000 0.0170 0.0990 [8 per cell]
Li: 0.0000 0.1115 0.6658 [8 per cell]
Li: 0.0000 0.1172 0.2500 [4 per cell]
Li: 0.0000 0.2515 0.5890 [8 per cell]
Cd: 0.0000 0.2721 0.2500 [4 per cell]
Cd: 0.0000 0.3777 0.0049 [8 per cell]
Pd: 0.0000 0.4914 0.2500 [4 per cell]

Results
- formation enthalpy at 0 K (meV/atom) = -190


DFT total energy (eV for the cell shown)
-73.4; -84.4; -93.7
Total magnetic moment (μB per atom)
0.00; 0.00; 0.00